Record 1
The following is a DFT calculation (GGA-PBEsol) of crystalline TaAl2Cr at its relaxed geometry.

Geometry as extended XYZ:
```
4
Lattice="-2.043 -1.747 -0.344 2.240 -2.056 -2.859 2.940 -2.172 3.865" Properties=species:S:1:pos:R:3 pbc="T T T"
Al -1.199 -2.124 0.588
Al 2.096 -1.795 2.932
Cr 0.098 -1.902 -1.602
Ta 1.568 -2.988 0.331
```

E above lowest polymorph: 0.0 meV/atom
Energy of formation from the pure elements: -0.063 eV per atom
Space-group type: No. 10


Record 2
The following is a DFT calculation (GGA-PBEsol) of crystalline TaAl2Cr at its relaxed geometry.

Geometry as extended XYZ:
```
4
Lattice="-2.702 0.303 -0.148 1.361 -2.082 -4.042 -0.592 -4.006 2.614" Properties=species:S:1:pos:R:3 pbc="T T T"
Cr -0.283 -3.881 -2.753
Al -0.004 -0.041 -0.009
Al -1.495 -1.832 -1.498
Ta -0.437 -3.965 -0.125
```

E above lowest polymorph: 100.3 meV/atom
Energy of formation from the pure elements: 0.037 eV per atom
Space-group type: No. 8


Record 3
The following is a DFT calculation (GGA-PBEsol) of crystalline Ta2AlCr at its relaxed geometry.

Geometry as extended XYZ:
```
4
Lattice="2.757 -0.005 0.000 -0.862 2.619 0.000 0.000 0.000 8.594" Properties=species:S:1:pos:R:3 pbc="T T T"
Al 0.000 0.000 4.118
Cr 0.947 1.307 2.184
Ta 0.000 0.000 0.193
Ta 0.947 1.307 6.396
```

Energy of formation from the pure elements: 0.030 eV per atom
Space-group type: No. 35


Record 4
The following is a DFT calculation (GGA-PBEsol) of crystalline TaAl2CrW at its relaxed geometry.

Geometry as extended XYZ:
```
5
Lattice="4.287 0.000 0.000 0.000 4.786 0.000 0.000 0.000 4.786" Properties=species:S:1:pos:R:3 pbc="T T T"
Ta 0.000 0.000 0.000
Al 0.000 2.393 0.000
Al 0.000 0.000 2.393
Cr 2.143 0.000 0.000
W 2.143 2.393 2.393
```

Energy of formation from the pure elements: 1.938 eV per atom
Space-group type: No. 123


Record 5
The following is a DFT calculation (GGA-PBEsol) of crystalline Al2CrTc at its relaxed geometry.

Geometry as extended XYZ:
```
4
Lattice="-0.809 -2.513 -0.659 0.435 -0.955 -2.510 7.413 -4.231 1.420" Properties=species:S:1:pos:R:3 pbc="T T T"
Tc 0.000 0.000 0.000
Al 5.241 -5.759 -1.324
Al 1.798 -1.940 -0.425
Cr 3.520 -3.850 -0.874
```

E above lowest polymorph: 308.1 meV/atom
Energy of formation from the pure elements: 0.028 eV per atom
Space-group type: No. 166


Record 6
The following is a DFT calculation (GGA-PBEsol) of crystalline AlCr2Tc at its relaxed geometry.

Geometry as extended XYZ:
```
4
Lattice="-1.199 1.353 2.358 -3.531 -1.930 -0.688 3.599 -2.829 1.582" Properties=species:S:1:pos:R:3 pbc="T T T"
Cr 0.592 -1.495 1.159
Cr -1.723 -1.912 2.093
Tc -0.600 0.677 1.179
Al -1.766 -0.965 -0.344
```

Energy of formation from the pure elements: -0.101 eV per atom
Space-group type: No. 71


Record 7
The following is a DFT calculation (GGA-PBEsol) of crystalline Al2CrTc at its relaxed geometry.

Geometry as extended XYZ:
```
4
Lattice="-0.636 2.362 1.757 -2.935 -0.367 -0.569 -0.453 -3.575 4.643" Properties=species:S:1:pos:R:3 pbc="T T T"
Tc -2.120 -1.643 4.023
Cr -0.228 -1.804 2.343
Al -0.447 -3.531 4.586
Al -1.907 0.035 1.844
```

E above lowest polymorph: 0.0 meV/atom
Energy of formation from the pure elements: -0.280 eV per atom
Space-group type: No. 99


Record 8
The following is a DFT calculation (GGA-PBEsol) of crystalline AlCrTc2 at its relaxed geometry.

Geometry as extended XYZ:
```
4
Lattice="2.704 0.000 0.000 1.352 2.342 0.000 1.352 0.781 8.554" Properties=species:S:1:pos:R:3 pbc="T T T"
Cr 4.056 2.342 6.438
Al 2.704 1.561 4.334
Tc 1.352 0.781 2.093
Tc 1.352 0.781 8.520
```

Energy of formation from the pure elements: 0.068 eV per atom
Space-group type: No. 160


Record 9
The following is a DFT calculation (GGA-PBEsol) of crystalline AlCrTc2 at its relaxed geometry.

Geometry as extended XYZ:
```
4
Lattice="-1.932 -0.835 2.201 -1.470 -2.927 -2.401 2.954 -2.754 1.548" Properties=species:S:1:pos:R:3 pbc="T T T"
Cr 0.742 -2.840 -0.427
Al -1.701 -1.881 -0.100
Tc 0.000 0.000 0.000
Tc 0.511 -1.794 1.875
```

Energy of formation from the pure elements: -0.018 eV per atom
Space-group type: No. 47


Record 10
The following is a DFT calculation (GGA-PBEsol) of crystalline Al2CrTc at its relaxed geometry.

Geometry as extended XYZ:
```
4
Lattice="-1.400 2.946 -2.747 1.424 0.016 -4.019 -2.600 -1.122 -3.188" Properties=species:S:1:pos:R:3 pbc="T T T"
Tc 0.000 0.000 0.000
Al -1.932 1.379 -7.465
Al -0.644 0.460 -2.488
Cr -1.288 0.920 -4.977
```

E above lowest polymorph: 134.6 meV/atom
Energy of formation from the pure elements: -0.145 eV per atom
Space-group type: No. 225


Record 11
The following is a DFT calculation (GGA-PBEsol) of crystalline Al2CrTc at its relaxed geometry.

Geometry as extended XYZ:
```
4
Lattice="-0.364 1.270 -2.817 -2.081 -3.284 -1.211 -3.584 1.801 1.275" Properties=species:S:1:pos:R:3 pbc="T T T"
Al 0.000 0.000 0.000
Al -1.974 1.535 -0.771
Tc -2.833 -0.741 0.032
Cr -1.222 -1.007 -2.014
```

E above lowest polymorph: 180.0 meV/atom
Energy of formation from the pure elements: -0.100 eV per atom
Space-group type: No. 47


Record 12
The following is a DFT calculation (GGA-PBEsol) of crystalline AlCr2Tc at its relaxed geometry.

Geometry as extended XYZ:
```
4
Lattice="-1.805 2.264 -0.498 -1.706 -0.531 3.768 4.506 1.680 -0.031" Properties=species:S:1:pos:R:3 pbc="T T T"
Tc 1.832 2.220 3.450
Al 1.398 1.294 0.815
Cr -0.767 -0.186 1.935
Cr -0.425 2.098 2.411
```

Energy of formation from the pure elements: -0.124 eV per atom
Space-group type: No. 44


Record 13
The following is a DFT calculation (GGA-PBEsol) of crystalline AlCrTc2 at its relaxed geometry.

Geometry as extended XYZ:
```
4
Lattice="-1.515 2.534 0.627 -1.256 0.216 -3.907 -2.041 -3.665 2.614" Properties=species:S:1:pos:R:3 pbc="T T T"
Tc -2.434 0.147 0.790
Tc -4.773 -0.889 -0.676
Cr -2.390 -1.070 -1.452
Al -1.413 1.357 -1.632
```

Energy of formation from the pure elements: -0.195 eV per atom
Space-group type: No. 44


Record 14
The following is a DFT calculation (GGA-PBEsol) of crystalline Al2CrTc at its relaxed geometry.

Geometry as extended XYZ:
```
4
Lattice="3.104 0.000 0.000 0.000 3.104 0.000 0.000 0.000 5.709" Properties=species:S:1:pos:R:3 pbc="T T T"
Al 0.000 0.000 1.459
Al 0.000 0.000 4.250
Cr 1.552 1.552 0.000
Tc 1.552 1.552 2.854
```

E above lowest polymorph: 176.8 meV/atom
Energy of formation from the pure elements: -0.103 eV per atom
Space-group type: No. 123


Record 15
The following is a DFT calculation (GGA-PBEsol) of crystalline AlCr2Tc at its relaxed geometry.

Geometry as extended XYZ:
```
4
Lattice="2.590 0.000 0.000 0.000 3.961 0.000 0.000 0.000 4.934" Properties=species:S:1:pos:R:3 pbc="T T T"
Al 1.295 1.981 2.467
Cr 0.000 0.000 1.270
Cr 0.000 0.000 3.664
Tc 1.295 1.981 0.000
```

Energy of formation from the pure elements: 0.087 eV per atom
Space-group type: No. 47


Record 16
The following is a DFT calculation (GGA-PBEsol) of crystalline AlCr2Te at its relaxed geometry.

Geometry as extended XYZ:
```
4
Lattice="-2.137 -1.375 -2.816 2.008 -3.218 0.048 -2.738 0.592 4.344" Properties=species:S:1:pos:R:3 pbc="T T T"
Cr -2.470 -1.540 0.072
Cr 0.000 0.000 0.000
Te -0.065 -2.297 -1.384
Al -0.398 -2.461 1.504
```

E above lowest polymorph: 15.2 meV/atom
Space-group type: No. 119
Uncorrected formation energy: 9.2 kcal/mol of atoms


Record 17
The following is a DFT calculation (GGA-PBEsol) of crystalline AlCr2Te at its relaxed geometry.

Geometry as extended XYZ:
```
4
Lattice="-1.690 2.785 -0.057 -1.893 -1.099 2.413 3.545 2.229 3.796" Properties=species:S:1:pos:R:3 pbc="T T T"
Cr 0.711 0.447 0.762
Cr 2.834 1.782 3.034
Al -1.791 0.843 1.178
Te -0.019 1.958 3.076
```

E above lowest polymorph: 0.0 meV/atom
Space-group type: No. 123
Uncorrected formation energy: 8.8 kcal/mol of atoms


Record 18
The following is a DFT calculation (GGA-PBEsol) of crystalline Al4CrTe at its relaxed geometry.

Geometry as extended XYZ:
```
6
Lattice="-5.251 -0.561 0.521 -1.980 -4.241 2.500 -2.266 0.548 4.766" Properties=species:S:1:pos:R:3 pbc="T T T"
Al -4.553 -3.703 4.168
Al -3.571 -1.599 2.928
Al -6.175 -1.878 3.187
Al -4.695 -1.328 5.292
Cr -7.123 -3.190 5.840
Te 0.000 0.000 0.000
```

Space-group type: No. 216
Uncorrected formation energy: 7.9 kcal/mol of atoms


Record 19
The following is a DFT calculation (GGA-PBEsol) of crystalline AlCr2Te at its relaxed geometry.

Geometry as extended XYZ:
```
8
Lattice="3.890 0.000 0.000 0.000 3.890 0.000 -1.945 -1.945 8.780" Properties=species:S:1:pos:R:3 pbc="T T T"
Cr -0.973 -0.650 6.585
Cr 2.595 0.973 2.195
Cr 0.973 0.650 6.585
Cr 1.295 2.918 2.195
Te 0.000 0.000 0.000
Te 0.000 1.945 4.390
Al 1.945 1.945 0.000
Al 1.945 0.000 4.390
```

E above lowest polymorph: 264.3 meV/atom
Space-group type: No. 122
Uncorrected formation energy: 14.9 kcal/mol of atoms


Record 20
The following is a DFT calculation (GGA-PBEsol) of crystalline AlTlCr2 at its relaxed geometry.

Geometry as extended XYZ:
```
4
Lattice="4.206 0.000 0.000 0.000 4.206 0.000 0.000 0.000 3.632" Properties=species:S:1:pos:R:3 pbc="T T T"
Tl 2.103 2.103 1.816
Cr 2.103 0.000 0.000
Cr 0.000 2.103 0.000
Al 0.000 0.000 1.816
```

Energy of formation from the pure elements: 0.525 eV per atom
Space-group type: No. 123


Results for raw total energy: -7.81, -7.71, -9.83, -7.02, -7.39, -9.06, -7.70, -9.15, -9.23, -7.57, -7.52, -9.08, -9.41, -7.53, -8.87, -6.63, -6.64, -4.68, -6.38, -6.28 (in eV per atom, following the order of the records).